Record 1
Compound: TiNi3B
Source: Alexandria
Functional: PBE
Structure: optimized geometry

Lattice parameters (Å, degrees): 4.296 4.296 4.296 90.00 90.00 90.00
Fractional positions:
Ti 0.000 0.000 0.000
Ni 0.000 0.000 0.500
Ni 0.000 0.500 0.000
Ni 0.500 0.000 0.000
B 0.500 0.500 0.500

Output
Its calculated density is 4.9 g/cm3. Its formation energy is 1.759 eV/atom. Its distance to the lowest polymorph of the same formula is 9.88 eV/f.u.

Record 2
Compound: Ti2NiB2
Source: Alexandria
Functional: PBE
Structure: optimized geometry

Lattice parameters (Å, degrees): 5.589 5.589 3.268 90.00 90.00 148.69
Fractional positions:
Ti 0.137 0.863 0.000
Ti 0.863 0.137 0.000
Ni 0.500 0.500 0.500
B 0.294 0.706 0.500
B 0.706 0.294 0.500

Output
Its calculated density is 5.5 g/cm3. Its formation energy is -0.766 eV/atom. Its distance to the lowest polymorph of the same formula is 0.00 eV/f.u.

Record 3
Compound: Ti2NiB
Source: Alexandria
Functional: PBE
Structure: optimized geometry

Lattice parameters (Å, degrees): 5.209 5.209 5.209 101.87 101.87 126.05
Fractional positions:
Ti 0.091 0.625 0.966
Ti 0.375 0.341 0.466
Ti 0.659 0.125 0.034
Ti 0.875 0.909 0.534
Ni 0.250 0.750 0.500
Ni 0.500 0.500 0.000
B 0.000 0.000 0.000
B 0.750 0.250 0.500

Output
Its calculated density is 5.4 g/cm3. Its formation energy is 0.111 eV/atom.

Record 4
Compound: TiNi6B
Source: Alexandria
Functional: PBE
Structure: optimized geometry

Lattice parameters (Å, degrees): 5.375 5.375 5.375 54.88 54.88 54.88
Fractional positions:
Ti 0.000 0.000 0.000
Ni 0.066 0.594 0.594
Ni 0.406 0.406 0.934
Ni 0.406 0.934 0.406
Ni 0.594 0.066 0.594
Ni 0.594 0.594 0.066
Ni 0.934 0.406 0.406
B 0.500 0.500 0.500

Output
Its calculated density is 7.1 g/cm3. Its formation energy is -0.020 eV/atom.

Record 5
Compound: TiNi2B4
Source: Alexandria
Functional: PBE
Structure: optimized geometry

Lattice parameters (Å, degrees): 6.596 6.596 6.596 153.72 152.67 38.28
Fractional positions:
Ti 0.000 0.000 0.000
Ni 0.189 0.689 0.500
Ni 0.811 0.311 0.500
B 0.356 0.856 0.500
B 0.430 0.430 0.000
B 0.570 0.570 0.000
B 0.644 0.144 0.500

Output
Its calculated density is 5.9 g/cm3. Its formation energy is -0.561 eV/atom.

Record 6
Compound: Ti2NiB2
Source: Alexandria
Functional: PBE
Structure: optimized geometry

Lattice parameters (Å, degrees): 5.551 5.551 3.401 90.00 90.00 90.00
Fractional positions:
Ti 0.175 0.325 0.000
Ti 0.325 0.825 0.000
Ti 0.675 0.175 0.000
Ti 0.825 0.675 0.000
Ni 0.000 0.000 0.500
Ni 0.500 0.500 0.500
B 0.117 0.617 0.500
B 0.383 0.117 0.500
B 0.617 0.883 0.500
B 0.883 0.383 0.500

Output
Its calculated density is 5.6 g/cm3. Its formation energy is -0.723 eV/atom. Its distance to the lowest polymorph of the same formula is 0.22 eV/f.u.

One value per record, in order, for final energy: -4.62; -7.75; -6.95; -6.18; -7.16; -7.71 eV per atom.
One value per record, in order, for total magnetic moment: 0.00; 0.00; 0.00; 0.00; 0.00; 0.00 μB per atom.